Entry 1:
Crystalline BiPdS3 at its relaxed geometry. Source: Alexandria via LeMat-Bulk, functional PBE-GGA.

a b c (Å): 4.7173 4.7173 4.7173
angles (deg): 90.00 90.00 90.00
Last column: nearest neighbours and their distance in Å.
Atoms (fractional coordinates):
S: 0.0000 0.5000 0.0000  2 Pd 2.36
S: 0.0000 0.0000 0.5000  2 Pd 2.36
S: 0.5000 0.0000 0.0000  2 Pd 2.36
Bi: 0.5000 0.5000 0.5000  12 S 3.34
Pd: 0.0000 0.0000 0.0000  6 S 2.36

DFT total energy   -4.107 eV per atom
Crystal system   cubic
Energy relative to the lowest polymorph listed for this composition   410 meV/atom


Entry 2:
Crystalline Bi2PdS at its relaxed geometry. Source: Alexandria via LeMat-Bulk, functional PBE-GGA.

a b c (Å): 3.8007 3.8007 8.0683
angles (deg): 76.38 76.38 60.00
Last column: nearest neighbours and their distance in Å.
Atoms (fractional coordinates):
Bi: 0.0796 0.0796 0.7611  3 Pd 2.86, 3 S 2.95
Bi: 0.2554 0.2554 0.2339  3 Pd 2.86, 3 S 3.05
Pd: 0.6673 0.6673 0.9980  6 Bi 2.86
S: 0.4977 0.4977 0.5070  6 Bi 2.95-3.05

DFT total energy   -4.401 eV per atom
Crystal system   trigonal


Entry 3:
Crystalline BiPd3S at its relaxed geometry. Source: Alexandria via LeMat-Bulk, functional PBE-GGA.

a b c (Å): 4.6119 4.6119 4.6119
angles (deg): 90.00 90.00 90.00
Last column: nearest neighbours and their distance in Å.
Atoms (fractional coordinates):
S: 0.0000 0.0000 0.0000  6 Pd 2.31
Bi: 0.5000 0.5000 0.5000  12 Pd 3.26
Pd: 0.0000 0.5000 0.0000  2 S 2.31
Pd: 0.0000 0.0000 0.5000  2 S 2.31
Pd: 0.5000 0.0000 0.0000  2 S 2.31

DFT total energy   -4.846 eV per atom
Crystal system   cubic
Energy relative to the lowest polymorph listed for this composition   0 meV/atom


no.,Fermi-level density of states (states/eV/atom),E_form (uncorrected) (eV/atom)
1,0.573,0.18
2,0.269,-0.13
3,0.828,-0.13